PBE with a Hubbard U CoGe2F, relaxed; DOS(E_F) = 2.868 states/eV/f.u.; crystal system = cubic; space-group type = No. 225; ΔE to the lowest computed polymorph = 0 meV/atom; total magnetization = 1.4 μB per formula unit
1.0
0.000 3.050 3.050
3.050 0.000 3.050
3.050 3.050 0.000
Co Ge F
1 2 1
Direct
0.000 0.000 0.000
0.250 0.250 0.250
0.750 0.750 0.750
0.500 0.500 0.500